No. 1
VASP calculation (PBE-GGA) on a relaxed structure of Zn9Cu2Au3.

Cell: 9.053 9.053 5.180 Å, 106.34 106.34 34.15°
Fractional coordinates of all 14 atoms:
1 Zn 0.000 0.000 0.000
2 Zn 0.117 0.616 0.615
3 Zn 0.117 0.617 0.118
4 Zn 0.383 0.883 0.882
5 Zn 0.384 0.883 0.385
6 Zn 0.616 0.117 0.615
7 Zn 0.617 0.117 0.118
8 Zn 0.883 0.383 0.882
9 Zn 0.883 0.384 0.385
10 Cu 0.238 0.762 0.500
11 Cu 0.762 0.238 0.500
12 Au 0.249 0.249 0.247
13 Au 0.500 0.500 0.000
14 Au 0.751 0.751 0.753

For the calculated total energy, the calculation gives -0.158 Ry per atom. Its space group is C2/m (12). Its density of states at the Fermi level is 0.29 states/eV/atom. For the magnetization, the calculation gives 0.0 μB per formula unit. The value obtained for the formation energy is -0.0395 eV per atom.


No. 2
VASP calculation (PBE-GGA) on a relaxed structure of ZnCuAu14.

Cell: 9.401 5.856 5.856 Å, 61.38 90.00 90.00°
Fractional coordinates of all 16 atoms:
1 Zn 0.000 0.000 0.000
2 Cu 0.000 0.499 0.499
3 Au 0.000 0.005 0.507
4 Au 0.000 0.507 0.005
5 Au 0.235 0.326 0.825
6 Au 0.235 0.825 0.326
7 Au 0.247 0.329 0.329
8 Au 0.248 0.829 0.829
9 Au 0.500 0.155 0.155
10 Au 0.500 0.158 0.658
11 Au 0.500 0.655 0.655
12 Au 0.500 0.658 0.158
13 Au 0.752 0.829 0.829
14 Au 0.753 0.329 0.329
15 Au 0.765 0.326 0.825
16 Au 0.765 0.825 0.326

For the calculated total energy, the calculation gives -0.237 Ry per atom. Its space group is Amm2 (38). Its density of states at the Fermi level is 0.26 states/eV/atom. For the magnetization, the calculation gives 0.0 μB per formula unit. The value obtained for the formation energy is -0.0214 eV per atom.


No. 3
VASP calculation (PBE-GGA) on a relaxed structure of Zn5CuAu3.

Cell: 5.887 5.887 10.038 Å, 93.96 93.96 82.21°
Fractional coordinates of all 18 atoms:
1 Zn 0.044 0.044 0.323
2 Zn 0.120 0.496 0.343
3 Zn 0.172 0.828 0.000
4 Zn 0.229 0.229 0.855
5 Zn 0.496 0.120 0.343
6 Zn 0.504 0.880 0.657
7 Zn 0.771 0.771 0.145
8 Zn 0.828 0.172 0.000
9 Zn 0.880 0.504 0.657
10 Zn 0.956 0.956 0.677
11 Cu 0.477 0.477 0.749
12 Cu 0.523 0.523 0.251
13 Au 0.208 0.208 0.577
14 Au 0.228 0.228 0.126
15 Au 0.500 0.500 0.000
16 Au 0.500 0.500 0.500
17 Au 0.772 0.772 0.874
18 Au 0.792 0.792 0.423

For the calculated total energy, the calculation gives -0.164 Ry per atom. Its space group is C2/m (12). Its density of states at the Fermi level is 0.31 states/eV/atom. For the magnetization, the calculation gives 0.0 μB per formula unit. As for the distance to the lowest polymorph of the same formula: 0.113 eV per atom. The value obtained for the formation energy is 0.0240 eV per atom.


No. 4
VASP calculation (PBE-GGA) on a relaxed structure of Zn6CuAu12.

Cell: 7.283 7.283 7.283 Å, 103.77 103.77 103.77°
Fractional coordinates of all 19 atoms:
1 Zn 0.068 0.325 0.255
2 Zn 0.255 0.068 0.325
3 Zn 0.325 0.255 0.068
4 Zn 0.675 0.745 0.932
5 Zn 0.745 0.932 0.675
6 Zn 0.932 0.675 0.745
7 Cu 0.500 0.500 0.500
8 Au 0.027 0.682 0.137
9 Au 0.137 0.027 0.682
10 Au 0.199 0.663 0.536
11 Au 0.318 0.863 0.973
12 Au 0.337 0.464 0.801
13 Au 0.464 0.801 0.337
14 Au 0.536 0.199 0.663
15 Au 0.663 0.536 0.199
16 Au 0.682 0.137 0.027
17 Au 0.801 0.337 0.464
18 Au 0.863 0.973 0.318
19 Au 0.973 0.318 0.863

For the calculated total energy, the calculation gives -0.201 Ry per atom. Its space group is R-3 (148). Its density of states at the Fermi level is 0.27 states/eV/atom. For the magnetization, the calculation gives 0.0 μB per formula unit. As for the distance to the lowest polymorph of the same formula: 0.050 eV per atom. The value obtained for the formation energy is -0.0515 eV per atom.


No. 5
VASP calculation (PBE-GGA) on a relaxed structure of Zn8Cu4Au.

Cell: 6.604 6.604 6.604 Å, 98.21 98.21 135.59°
Fractional coordinates of all 13 atoms:
1 Zn 0.000 0.216 0.216
2 Zn 0.000 0.784 0.784
3 Zn 0.165 0.500 0.665
4 Zn 0.216 0.000 0.216
5 Zn 0.500 0.165 0.665
6 Zn 0.500 0.835 0.335
7 Zn 0.784 0.000 0.784
8 Zn 0.835 0.500 0.335
9 Cu 0.000 0.000 0.500
10 Cu 0.000 0.500 0.000
11 Cu 0.500 0.000 0.000
12 Cu 0.500 0.500 0.500
13 Au 0.500 0.500 0.000

For the calculated total energy, the calculation gives -0.173 Ry per atom. Its space group is I4/mmm (139). Its density of states at the Fermi level is 0.20 states/eV/atom. For the magnetization, the calculation gives 0.0 μB per formula unit. The value obtained for the formation energy is -0.0637 eV per atom.


No. 6
VASP calculation (PBE-GGA) on a relaxed structure of Zn12CuAu7.

Cell: 7.307 7.307 7.307 Å, 105.59 105.59 105.59°
Fractional coordinates of all 20 atoms:
1 Zn 0.056 0.715 0.152
2 Zn 0.152 0.056 0.715
3 Zn 0.186 0.438 0.658
4 Zn 0.285 0.848 0.944
5 Zn 0.342 0.814 0.562
6 Zn 0.438 0.658 0.186
7 Zn 0.562 0.342 0.814
8 Zn 0.658 0.186 0.438
9 Zn 0.715 0.152 0.056
10 Zn 0.814 0.562 0.342
11 Zn 0.848 0.944 0.285
12 Zn 0.944 0.285 0.848
13 Cu 0.500 0.500 0.500
14 Au 0.000 0.000 0.000
15 Au 0.114 0.428 0.273
16 Au 0.273 0.114 0.428
17 Au 0.428 0.273 0.114
18 Au 0.572 0.727 0.886
19 Au 0.727 0.886 0.572
20 Au 0.886 0.572 0.727

For the calculated total energy, the calculation gives -0.164 Ry per atom. Its space group is R-3 (148). Its density of states at the Fermi level is 0.27 states/eV/atom. For the magnetization, the calculation gives 0.0 μB per formula unit. The value obtained for the formation energy is -0.1169 eV per atom.


No. 7
VASP calculation (PBE-GGA) on a relaxed structure of Zn3CuAu3.

Cell: 7.751 7.751 7.751 Å, 90.00 90.00 90.00°
Fractional coordinates of all 28 atoms:
1 Zn 0.055 0.445 0.555
2 Zn 0.139 0.861 0.361
3 Zn 0.192 0.192 0.192
4 Zn 0.308 0.808 0.692
5 Zn 0.361 0.139 0.861
6 Zn 0.445 0.555 0.055
7 Zn 0.555 0.055 0.445
8 Zn 0.639 0.639 0.639
9 Zn 0.692 0.308 0.808
10 Zn 0.808 0.692 0.308
11 Zn 0.861 0.361 0.139
12 Zn 0.945 0.945 0.945
13 Cu 0.108 0.608 0.892
14 Cu 0.392 0.392 0.392
15 Cu 0.608 0.892 0.108
16 Cu 0.892 0.108 0.608
17 Au 0.042 0.270 0.869
18 Au 0.131 0.542 0.230
19 Au 0.230 0.131 0.542
20 Au 0.270 0.869 0.042
21 Au 0.369 0.458 0.730
22 Au 0.458 0.730 0.369
23 Au 0.542 0.230 0.131
24 Au 0.631 0.958 0.770
25 Au 0.730 0.369 0.458
26 Au 0.770 0.631 0.958
27 Au 0.869 0.042 0.270
28 Au 0.958 0.770 0.631

For the calculated total energy, the calculation gives -0.194 Ry per atom. Its space group is P2_13 (198). Its density of states at the Fermi level is 0.24 states/eV/atom. For the magnetization, the calculation gives 0.0 μB per formula unit. As for the distance to the lowest polymorph of the same formula: 0.000 eV per atom. The value obtained for the formation energy is -0.1089 eV per atom.


No. 8
VASP calculation (PBE-GGA) on a relaxed structure of Zn2Cu9Au3.

Cell: 6.961 6.961 4.265 Å, 101.71 101.71 85.29°
Fractional coordinates of all 14 atoms:
1 Zn 0.150 0.850 0.000
2 Zn 0.850 0.150 0.000
3 Cu 0.000 0.000 0.500
4 Cu 0.101 0.630 0.420
5 Cu 0.229 0.487 0.917
6 Cu 0.370 0.899 0.580
7 Cu 0.487 0.229 0.917
8 Cu 0.513 0.771 0.083
9 Cu 0.630 0.101 0.420
10 Cu 0.771 0.513 0.083
11 Cu 0.899 0.370 0.580
12 Au 0.221 0.221 0.314
13 Au 0.500 0.500 0.500
14 Au 0.779 0.779 0.686

For the calculated total energy, the calculation gives -0.256 Ry per atom. Its space group is C2/m (12). Its density of states at the Fermi level is 0.28 states/eV/atom. For the magnetization, the calculation gives 0.0 μB per formula unit. The value obtained for the formation energy is 0.0305 eV per atom.


No. 9
VASP calculation (PBE-GGA) on a relaxed structure of Zn3Cu6Au2.

Cell: 4.855 5.024 6.489 Å, 94.63 96.98 95.18°
Fractional coordinates of all 11 atoms:
1 Zn 0.000 0.000 0.000
2 Zn 0.353 0.018 0.317
3 Zn 0.647 0.982 0.683
4 Cu 0.126 0.850 0.629
5 Cu 0.140 0.486 0.188
6 Cu 0.448 0.745 0.972
7 Cu 0.552 0.255 0.028
8 Cu 0.860 0.514 0.812
9 Cu 0.874 0.150 0.371
10 Au 0.311 0.375 0.646
11 Au 0.689 0.625 0.354

For the calculated total energy, the calculation gives -0.236 Ry per atom. Its space group is P-1 (2). Its density of states at the Fermi level is 0.31 states/eV/atom. For the magnetization, the calculation gives 0.0 μB per formula unit. The value obtained for the formation energy is -0.0270 eV per atom.